Below is a relaxed structure of SrRu4O12, with properties calculated at the PBE level.

Geometry as extended XYZ:
```
17
Lattice="-3.772 3.772 3.772 3.772 -3.772 3.772 3.772 3.772 -3.772" Properties=species:S:1:pos:R:3 pbc="T T T"
Sr 0.000 0.000 0.000
Ru 1.886 1.886 -1.886
Ru 1.886 -1.886 1.886
Ru -1.886 1.886 1.886
Ru 1.886 1.886 1.886
O 3.772 2.191 -1.655
O 2.116 0.000 1.580
O 5.427 0.000 1.580
O 1.580 2.116 0.000
O 2.191 -1.655 3.772
O 0.000 1.580 2.116
O 3.772 2.191 1.655
O 1.580 5.427 0.000
O 2.191 1.655 3.772
O -1.655 3.772 2.191
O 1.655 3.772 2.191
O 0.000 1.580 5.427
```

## Properties
Formation energy from raw total energies ... -16.7 eV per formula unit

***

Below is a relaxed structure of LaTeN2O, with properties calculated at the PBE level.

Geometry as extended XYZ:
```
5
Lattice="4.421 0.000 0.000 0.000 4.421 0.000 0.000 0.000 4.097" Properties=species:S:1:pos:R:3 pbc="T T T"
La 0.000 0.000 0.000
Te 2.211 2.211 0.000
N 0.000 2.211 2.048
N 2.211 0.000 2.048
O 2.211 2.211 2.048
```

## Properties
Formation energy from raw total energies ... 3.9 eV per formula unit

***

Below is a relaxed structure of Li2InBr5, with properties calculated at the PBE level.

Geometry as extended XYZ:
```
32
Lattice="11.194 0.000 0.000 0.000 13.267 0.000 0.000 0.000 7.891" Properties=species:S:1:pos:R:3 pbc="T T T"
Li 0.000 0.000 1.722
Li 0.000 0.000 6.169
Li 1.152 3.737 0.000
Li 4.445 10.371 3.946
Li 5.597 6.634 2.223
Li 5.597 6.634 5.668
Li 6.749 2.897 3.946
Li 10.042 9.530 0.000
In 2.487 3.221 3.946
In 3.110 9.855 0.000
In 8.084 3.413 0.000
In 8.707 10.046 3.946
Br 0.368 1.763 3.946
Br 1.121 8.271 0.000
Br 1.297 1.308 0.000
Br 2.486 4.812 1.950
Br 2.486 4.812 5.942
Br 3.111 11.446 1.996
Br 3.111 11.446 5.895
Br 4.300 7.942 3.946
Br 4.476 1.637 3.946
Br 5.229 8.396 0.000
Br 5.965 4.871 0.000
Br 6.718 11.630 3.946
Br 6.894 5.325 3.946
Br 8.083 1.821 1.996
Br 8.083 1.821 5.895
Br 8.708 8.455 1.950
Br 8.708 8.455 5.942
Br 9.897 11.959 0.000
Br 10.073 4.997 0.000
Br 10.826 11.505 3.946
```

## Properties
Formation energy from raw total energies ... -9.2 eV per formula unit

***

Below is a relaxed structure of Te2SeBr, with properties calculated at the PBE level.

Geometry as extended XYZ:
```
4
Lattice="3.586 0.000 0.000 0.000 4.951 0.000 0.000 0.000 7.726" Properties=species:S:1:pos:R:3 pbc="T T T"
Te 0.000 0.000 0.000
Te 1.793 2.475 2.392
Se 1.793 2.475 7.601
Br 0.000 0.000 5.152
```

## Properties
Formation energy from raw total energies ... 0.4 eV per formula unit

***

Below is a relaxed structure of MnZnSn, with properties calculated at the PBE level.

Geometry as extended XYZ:
```
3
Lattice="4.414 0.000 0.000 -2.207 3.823 0.000 0.000 0.000 3.292" Properties=species:S:1:pos:R:3 pbc="T T T"
Mn 0.000 0.000 0.000
Zn 2.207 1.274 0.000
Sn 0.000 2.549 1.646
```

## Properties
E_form ... 0.26 eV/atom

***

Below is a relaxed structure of CeAg2Hg2, with properties calculated at the PBE level.

Geometry as extended XYZ:
```
5
Lattice="2.975 -2.971 0.000 2.975 2.971 0.000 -2.966 0.000 6.855" Properties=species:S:1:pos:R:3 pbc="T T T"
Ce 0.000 0.000 0.000
Ag 1.492 1.485 3.428
Ag 1.492 -1.485 3.428
Hg 0.001 0.000 5.382
Hg 2.982 0.000 1.474
```

## Properties
E_form ... -0.09 eV/atom

***

Number 1: magnetization 0.0 Bohr magnetons per cell, DFT total energy -114.95 eV per cell. Number 2: magnetization 0.0 Bohr magnetons per cell, DFT total energy -25.74 eV per cell. Number 3: magnetization 0.0 Bohr magnetons per cell, DFT total energy -96.33 eV per cell. Number 4: magnetization 0.0 Bohr magnetons per cell, DFT total energy -11.01 eV per cell. Number 5: magnetization 3.4 Bohr magnetons per cell, DFT total energy -13.66 eV per cell. Number 6: magnetization 1.4 Bohr magnetons per cell, DFT total energy -12.67 eV per cell.